(1)
Compound: Nb2VMo
Source: the Alexandria database
Functional: PBE
Structure: relaxed

a = 3.2034 Å, b = 3.2034 Å, c = 6.4117 Å
α = 90.00°, β = 90.00°, γ = 90.00°
With the nearest neighbours (Å) after each atom.
Element x y z (fractional)
Nb 0.0000 0.0000 0.2479  4 V 2.77, 4 Mo 2.78
Nb 0.0000 0.0000 0.7521  4 V 2.77, 4 Mo 2.78
V 0.5000 0.5000 0.0000  8 Nb 2.77
Mo 0.5000 0.5000 0.5000  8 Nb 2.78

Formation energy from the elements = -54 meV per atom
DFT total energy = -10.076 eV/atom
Energy above the lowest structure with this stoichiometry = 0.000 eV/atom
D(E_F) = 4.98 states/eV per cell


(2)
Compound: LuMnInHg
Source: the Alexandria database
Functional: PBE
Structure: relaxed

a = 4.9563 Å, b = 4.9563 Å, c = 4.9563 Å
α = 60.00°, β = 60.00°, γ = 60.00°
With the nearest neighbours (Å) after each atom.
Element x y z (fractional)
Lu 0.0000 0.0000 0.0000  4 Hg 3.04, 4 In 3.04
Mn 0.5000 0.5000 0.5000  4 Hg 3.04, 4 In 3.04
In 0.7500 0.7500 0.7500  4 Mn 3.04, 4 Lu 3.04
Hg 0.2500 0.2500 0.2500  4 Mn 3.04, 4 Lu 3.04

Formation energy from the elements = -64 meV per atom
DFT total energy = -4.246 eV/atom
D(E_F) = 3.55 states/eV per cell


(3)
Compound: AlCoCl2
Source: the Alexandria database
Functional: PBE
Structure: relaxed

a = 3.1449 Å, b = 4.0580 Å, c = 5.7934 Å
α = 90.00°, β = 90.00°, γ = 90.00°
With the nearest neighbours (Å) after each atom.
Element x y z (fractional)
Al 0.0000 0.0000 0.0000  4 Cl 2.57
Co 0.5000 0.0000 0.5000  4 Cl 2.57
Cl 0.0000 0.5000 0.5000  4 Co 2.57
Cl 0.5000 0.5000 0.0000  4 Al 2.57

Formation energy without anion corrections = 0.145 eV per atom
DFT total energy = -3.491 eV/atom
Energy above the lowest structure with this stoichiometry = 0.704 eV/atom
D(E_F) = 3.65 states/eV per cell


(4)
Compound: Ac3Al7Ir4
Source: the Alexandria database
Functional: PBE
Structure: relaxed

a = 8.4218 Å, b = 8.4218 Å, c = 10.0806 Å
α = 124.63°, β = 124.63°, γ = 29.73°
With the nearest neighbours (Å) after each atom.
Element x y z (fractional)
Ac 0.0000 0.0000 0.0000  6 Ir 3.14-3.30, 2 Al 3.47
Ac 0.3051 0.3051 0.2994  4 Ir 3.18-3.21, 10 Al 3.19-3.41
Ac 0.6949 0.6949 0.7006  4 Ir 3.18-3.21, 10 Al 3.19-3.41
Al 0.0000 0.0000 0.5000  2 Ir 2.71
Al 0.1602 0.1602 0.4258  3 Ir 2.56-2.66
Al 0.3164 0.3164 0.9863  3 Ir 2.62-2.72, 1 Al 2.78
Al 0.4958 0.4958 0.7092  3 Ir 2.52-2.65, 1 Al 2.78
Al 0.5042 0.5042 0.2908  3 Ir 2.52-2.65, 1 Al 2.78
Al 0.6836 0.6836 0.0137  3 Ir 2.62-2.72, 1 Al 2.78
Al 0.8398 0.8398 0.5742  3 Ir 2.56-2.66
Ir 0.1120 0.1120 0.8315  6 Al 2.62-2.72
Ir 0.3425 0.3425 0.7130  4 Al 2.52-2.66
Ir 0.6575 0.6575 0.2870  4 Al 2.52-2.66
Ir 0.8880 0.8880 0.1685  6 Al 2.62-2.72

Formation energy from the elements = -684 meV per atom
DFT total energy = -5.968 eV/atom
D(E_F) = 6.31 states/eV per cell